# 1
First-principles (PBE-GGA) data for a relaxed structure of ZnCu2Ni5B2, as listed in Alexandria via LeMat-Bulk.

Calculated values
Calculated volume: 10.38 A^3/atom
Total energy: -5.3365 eV/atom
DFT formation energy: -0.164 eV per atom

Cell: 2.8916 8.4720 8.4720 Å, 90.00 90.00 90.00°
Element x y z (fractional)
Cu: 0.0000 0.8226 0.6774
B: 0.0000 0.6262 0.8738
Cu: 0.0000 0.1774 0.3226
Ni: 0.5000 0.0000 0.5000
Cu: 0.0000 0.6774 0.1774
Ni: 0.5000 0.5695 0.7199
B: 0.0000 0.3738 0.1262
Ni: 0.5000 0.7199 0.4305
Ni: 0.5000 0.7801 0.9305
Ni: 0.5000 0.0695 0.7801
Zn: 0.0000 0.0000 0.0000
B: 0.0000 0.1262 0.6262
Cu: 0.0000 0.3226 0.8226
Ni: 0.5000 0.2801 0.5695
Ni: 0.5000 0.9305 0.2199
Ni: 0.5000 0.4305 0.2801
Zn: 0.0000 0.5000 0.5000
Ni: 0.5000 0.5000 0.0000
B: 0.0000 0.8738 0.3738
Ni: 0.5000 0.2199 0.0695

# 2
First-principles (PBE-GGA) data for a relaxed structure of ZnCuNi2B, as listed in Alexandria via LeMat-Bulk.

Calculated values
Calculated volume: 11.46 A^3/atom
Total energy: -4.7725 eV/atom
DFT formation energy: -0.050 eV per atom

Cell: 3.8205 3.8205 3.9245 Å, 90.00 90.00 90.00°
Element x y z (fractional)
B: 0.0000 0.0000 0.0000
Ni: 0.0000 0.5000 0.0000
Ni: 0.5000 0.0000 0.0000
Cu: 0.0000 0.0000 0.5000
Zn: 0.5000 0.5000 0.5000

# 3
First-principles (PBE-GGA) data for a relaxed structure of Zn2CuNi5B2, as listed in Alexandria via LeMat-Bulk.

Calculated values
Calculated volume: 10.54 A^3/atom
Total energy: -5.0798 eV/atom
DFT formation energy: -0.189 eV per atom

Cell: 2.8946 8.5335 8.5335 Å, 90.00 90.00 90.00°
Element x y z (fractional)
Cu: 0.0000 0.0000 0.0000
Ni: 0.5000 0.2805 0.5704
Ni: 0.5000 0.7805 0.9296
B: 0.0000 0.1247 0.6247
Ni: 0.5000 0.2195 0.0704
B: 0.0000 0.3753 0.1247
Zn: 0.0000 0.6771 0.1771
Ni: 0.5000 0.7195 0.4296
Zn: 0.0000 0.1771 0.3229
B: 0.0000 0.6247 0.8753
Ni: 0.5000 0.9296 0.2195
Ni: 0.5000 0.0000 0.5000
Ni: 0.5000 0.4296 0.2805
Ni: 0.5000 0.5000 0.0000
Cu: 0.0000 0.5000 0.5000
Ni: 0.5000 0.5704 0.7195
Zn: 0.0000 0.8229 0.6771
B: 0.0000 0.8753 0.3753
Zn: 0.0000 0.3229 0.8229
Ni: 0.5000 0.0704 0.7805